1.
## NaAl2Au6 (PBE)

Data for NaAl2Au6 after structural relaxation.

abc: 8.2731 8.2731 8.2731
angles: 60.00 60.00 60.00
Last column: nearest neighbours and their distance in Å.
Atoms (fractional coordinates):
Na 0.1250 0.1250 0.1250  6 Au 2.95
Na 0.8750 0.8750 0.8750  6 Au 2.95
Al 0.0000 0.5000 0.5000  6 Au 2.52
Al 0.5000 0.0000 0.5000  6 Au 2.52
Al 0.5000 0.5000 0.0000  6 Au 2.52
Al 0.5000 0.5000 0.5000  6 Au 2.52
Au 0.1269 0.1269 0.6231  2 Al 2.52
Au 0.1269 0.6231 0.1269  2 Al 2.52
Au 0.1269 0.6231 0.6231  2 Al 2.52
Au 0.3769 0.3769 0.8731  2 Al 2.52
Au 0.3769 0.8731 0.3769  2 Al 2.52
Au 0.3769 0.8731 0.8731  2 Al 2.52
Au 0.6231 0.1269 0.1269  2 Al 2.52
Au 0.6231 0.1269 0.6231  2 Al 2.52
Au 0.6231 0.6231 0.1269  2 Al 2.52
Au 0.8731 0.3769 0.3769  2 Al 2.52
Au 0.8731 0.3769 0.8731  2 Al 2.52
Au 0.8731 0.8731 0.3769  2 Al 2.52

Calculated values
DFT formation energy ... -0.107 eV/atom
SG ... Fd-3m

***

2.
## Na2AlAu2 (PBE)

Data for Na2AlAu2 after structural relaxation.

abc: 8.7670 8.7670 2.7860
angles: 90.00 90.00 90.00
Last column: nearest neighbours and their distance in Å.
Atoms (fractional coordinates):
Na 0.1270 0.3730 0.0000  2 Na 2.79, 6 Au 2.87-2.98
Na 0.3730 0.8730 0.0000  2 Na 2.79, 6 Au 2.87-2.98
Na 0.6270 0.1270 0.0000  2 Na 2.79, 6 Au 2.87-2.98
Na 0.8730 0.6270 0.0000  2 Na 2.79, 6 Au 2.87-2.98
Al 0.0000 0.0000 0.0000  2 Al 2.79
Al 0.5000 0.5000 0.0000  2 Al 2.79
Au 0.1705 0.6705 0.5000  2 Au 2.79, 6 Na 2.87-2.98
Au 0.3295 0.1705 0.5000  2 Au 2.79, 6 Na 2.87-2.98
Au 0.6705 0.8295 0.5000  2 Au 2.79, 6 Na 2.87-2.98
Au 0.8295 0.3295 0.5000  2 Au 2.79, 6 Na 2.87-2.98

Calculated values
DFT formation energy ... -0.028 eV/atom
Energy above the lowest structure with this stoichiometry ... 0.297 eV per atom
SG ... P4/mbm